Entry one
In3HgH: relaxed, PBE.

Cell lengths 4.8014, 4.8014, 4.8014 Å; angles 90.00, 90.00, 90.00 degrees
Atoms (fractional coordinates):
In 0.5000 0.0000 0.0000
In 0.0000 0.5000 0.0000
In 0.0000 0.0000 0.5000
Hg 0.5000 0.5000 0.5000
H 0.0000 0.0000 0.0000

**Spin magnetization**: 0.0 μB/f.u.

***

Entry two
In3HgH: relaxed, PBE.

Cell lengths 6.0734, 10.6463, 6.9540 Å; angles 136.75, 115.89, 90.00 degrees
Atoms (fractional coordinates):
H 0.5761 0.3049 0.1522
H 0.4239 0.6951 0.8478
Hg 0.9117 0.0552 0.8233
Hg 0.0883 0.9448 0.1767
In 0.6699 0.5864 0.3398
In 0.3301 0.4136 0.6602
In 0.6502 0.0194 0.3003
In 0.1588 0.5331 0.3175
In 0.3498 0.9806 0.6997
In 0.8412 0.4669 0.6825

**Spin magnetization**: 0.0 μB/f.u.

***

Which is less stable than every other structure shown? entry one is.